This record from Alexandria describes an optimized crystal structure of Ca2MnInN. The functional is PBE-GGA.

Cell lengths 5.1147, 5.1147, 3.9132 Å; angles 90.00, 90.00, 90.00 degrees
Closest atoms and distances in Å follow each position.
Space group P4/mmm (No. 123)
Asymmetric unit:
Ca (0.0000, 0.5000, 0.0000) x2  2 N 2.56
Mn (0.0000, 0.0000, 0.5000) x1  2 N 1.96
In (0.5000, 0.5000, 0.5000) x1  8 Ca 3.22
N (0.0000, 0.0000, 0.0000) x1  2 Mn 1.96

## Properties
Energy relative to the elements, uncorrected in eV/atom: -0.461
Energy in eV/atom: -5.308